Below is crystalline Mg2TaSn at its relaxed geometry, with properties calculated at the PBE-GGA level.

Unit cell a=7.920 b=7.920 c=6.273 alpha=50.86 beta=50.86 gamma=90.00
Atoms (fractional coordinates):
Mg  0.133  0.625  0.250
Mg  0.617  0.125  0.250
Mg  0.375  0.383  0.750
Mg  0.875  0.867  0.750
Ta  0.000  0.000  0.000
Ta  0.750  0.250  0.500
Sn  0.250  0.750  0.500
Sn  0.500  0.500  0.000

Output
SG: I-42d
Energy relative to the elements, kcal/mol of atoms: 13.35

Below is crystalline BC2 at its relaxed geometry, with properties calculated at the PBE-GGA level.

Unit cell a=4.595 b=4.595 c=5.272 alpha=106.62 beta=106.62 gamma=47.64
Atoms (fractional coordinates):
B  0.288  0.383  0.124
B  0.291  0.701  0.704
B  0.632  0.042  0.463
B  0.951  0.045  0.043
C  0.996  0.017  0.495
C  0.589  0.062  0.904
C  0.668  0.667  0.833
C  0.271  0.744  0.263
C  0.316  0.337  0.671
C  0.666  0.665  0.333
C  0.925  0.409  0.583
C  0.906  0.428  0.083

Output
SG: C2
Energy relative to the elements, kcal/mol of atoms: 7.03
Energy relative to the lowest polymorph listed for this composition, eV/atom: 0.065

Below is crystalline TiTcNiMo2 at its relaxed geometry, with properties calculated at the PBE-GGA level.

Unit cell a=4.655 b=4.444 c=4.655 alpha=90.00 beta=90.00 gamma=90.00
Atoms (fractional coordinates):
Tc  0.000  0.000  0.000
Mo  0.500  0.000  0.000
Mo  0.000  0.000  0.500
Ti  0.500  0.500  0.500
Ni  0.000  0.500  0.000

Output
SG: P4/mmm
Energy relative to the elements, kcal/mol of atoms: 29.99

Below is crystalline LaSb4 at its relaxed geometry, with properties calculated at the PBE-GGA level.

Unit cell a=5.991 b=5.991 c=5.991 alpha=90.00 beta=90.00 gamma=90.00
Atoms (fractional coordinates):
La  0.500  0.500  0.500
Sb  0.500  0.500  0.000
Sb  0.000  0.000  0.000
Sb  0.500  0.000  0.500
Sb  0.000  0.500  0.500

Output
SG: Pm-3m
Energy relative to the lowest polymorph listed for this composition, eV/atom: 0.964
Raw formation energy, eV per atom: 0.727